Arrangement one

First-principles (PBE) data for a geometry-optimized CrAgSb2I structure, as listed in Alexandria via LeMat-Bulk.

a = 5.3509 Å, b = 5.3509 Å, c = 5.7434 Å
α = 90.00°, β = 90.00°, γ = 90.00°
With the nearest neighbours (Å) after each atom.
Space group P4/mmm (No. 123)
One atom of each set of equivalent atoms:
Cr1 0.0000 0.0000 0.0000  4 I 3.78, 8 Sb 3.92
Ag1 0.5000 0.5000 0.5000  4 Sb 2.68, 2 I 2.87
Sb1 0.0000 0.5000 0.5000  2 Ag 2.68
I1 0.5000 0.5000 0.0000  2 Ag 2.87


Arrangement two

First-principles (PBE) data for a geometry-optimized CrAgSb2I structure, as listed in Alexandria via LeMat-Bulk.

a = 4.9921 Å, b = 4.9921 Å, c = 5.9170 Å
α = 90.00°, β = 90.00°, γ = 90.00°
With the nearest neighbours (Å) after each atom.
Space group P4/mmm (No. 123)
One atom of each set of equivalent atoms:
Cr1 0.0000 0.0000 0.0000  4 Sb 2.50
Ag1 0.5000 0.5000 0.5000  4 I 3.53, 8 Sb 3.87
Sb1 0.0000 0.5000 0.0000  2 Cr 2.50
I1 0.0000 0.0000 0.5000  2 Cr 2.96


Which structure is the least stable? The one labeled arrangement one.


Arrangement one

First-principles (PBE) data for a geometry-optimized CrAgTe2I structure, as listed in Alexandria via LeMat-Bulk.

a = 5.4621 Å, b = 5.4621 Å, c = 5.6518 Å
α = 90.00°, β = 90.00°, γ = 90.00°
With the nearest neighbours (Å) after each atom.
Space group P4/mmm (No. 123)
One atom of each set of equivalent atoms:
Cr1 0.0000 0.0000 0.0000  4 I 3.86, 8 Te 3.93
Ag1 0.5000 0.5000 0.5000  4 Te 2.73, 2 I 2.83
Te1 0.0000 0.5000 0.5000  2 Ag 2.73
I1 0.5000 0.5000 0.0000  2 Ag 2.83


Arrangement two

First-principles (PBE) data for a geometry-optimized CrAgTe2I structure, as listed in Alexandria via LeMat-Bulk.

a = 5.1855 Å, b = 5.1855 Å, c = 5.7843 Å
α = 90.00°, β = 90.00°, γ = 90.00°
With the nearest neighbours (Å) after each atom.
Space group P4/mmm (No. 123)
One atom of each set of equivalent atoms:
Cr1 0.0000 0.0000 0.0000  4 Te 2.59, 2 I 2.89
Ag1 0.5000 0.5000 0.5000  4 I 3.67, 8 Te 3.88
Te1 0.0000 0.5000 0.0000  2 Cr 2.59
I1 0.0000 0.0000 0.5000  2 Cr 2.89


Which structure is the least stable? The one labeled arrangement one.


Arrangement one

First-principles (PBE) data for a geometry-optimized CrAgTeI2 structure, as listed in Alexandria via LeMat-Bulk.

a = 5.6317 Å, b = 5.6317 Å, c = 5.2153 Å
α = 90.00°, β = 90.00°, γ = 90.00°
With the nearest neighbours (Å) after each atom.
Space group P4/mmm (No. 123)
One atom of each set of equivalent atoms:
Cr1 0.0000 0.0000 0.0000  2 Te 2.61, 4 I 2.82
Ag1 0.5000 0.5000 0.5000  8 I 3.84, 4 Te 3.98
Te1 0.0000 0.0000 0.5000  2 Cr 2.61
I1 0.0000 0.5000 0.0000  2 Cr 2.82


Arrangement two

First-principles (PBE) data for a geometry-optimized CrAgTeI2 structure, as listed in Alexandria via LeMat-Bulk.

a = 5.6480 Å, b = 5.6480 Å, c = 5.5563 Å
α = 90.00°, β = 90.00°, γ = 90.00°
With the nearest neighbours (Å) after each atom.
Space group P4/mmm (No. 123)
One atom of each set of equivalent atoms:
Cr1 0.0000 0.0000 0.0000  8 I 3.96, 4 Te 3.99
Ag1 0.5000 0.5000 0.5000  2 Te 2.78, 4 I 2.82
Te1 0.5000 0.5000 0.0000  2 Ag 2.78
I1 0.0000 0.5000 0.5000  2 Ag 2.82


Which structure is the least stable? The one labeled arrangement two.